Pr6MgZn5 after structural relaxation, computed with PBE.

Geometry as POSCAR:
```
Pr6MgZn5
1.0
5.0044 -0.0298 1.6678
0.0404 7.5079 0.0135
-0.0095 -0.0149 8.3706
Pr Zn Mg
6 5 1
direct
0.5000 0.7389 0.0000 Pr
0.1707 0.2540 0.6586 Pr
0.8293 0.2540 0.3414 Pr
0.1707 0.7460 0.6586 Pr
0.8293 0.7460 0.3414 Pr
0.5000 0.2611 0.0000 Pr
0.3420 0.0000 0.3161 Zn
0.0000 0.5000 0.0000 Zn
0.6580 0.0000 0.6839 Zn
0.3348 0.5000 0.3304 Zn
0.6652 0.5000 0.6696 Zn
0.0000 0.0000 0.0000 Mg
```

Properties
Calculated formation energy ... -0.26 eV/atom

Cr3Ir after structural relaxation, computed with PBE.

Geometry as POSCAR:
```
Cr3Ir
1.0
-3.8924 1.1092 -0.8938
0.5100 -1.7058 -4.3381
-1.6878 -4.6191 1.6178
Cr Ir
6 2
direct
0.0000 0.8544 0.2351 Cr
0.5000 0.6456 0.0000 Cr
0.0000 0.3544 0.5000 Cr
0.5000 0.1456 0.7351 Cr
0.0000 0.8544 0.7649 Cr
0.5000 0.1456 0.2649 Cr
0.0000 0.3373 0.0000 Ir
0.5000 0.6627 0.5000 Ir
```

Properties
Calculated formation energy ... 0.05 eV/atom

ReAgSb after structural relaxation, computed with PBE.

Geometry as POSCAR:
```
ReAgSb
1.0
3.0918 0.0000 0.0000
-1.5459 2.6776 0.0000
0.0000 0.0000 7.0196
Re Ag Sb
1 1 1
direct
0.6667 0.3333 0.3450 Re
0.0000 0.0000 0.0190 Ag
0.3333 0.6667 0.6360 Sb
```

Properties
E_form (uncorrected) ... 2.07 eV/f.u.
ΔE to the lowest computed polymorph ... 0 meV per atom

CaPm4Rh2 after structural relaxation, computed with PBE.

Geometry as POSCAR:
```
CaPm4Rh2
1.0
-5.7964 -2.1828 -2.6382
0.0148 -7.7027 3.5711
-1.2898 9.2561 4.3171
Pm Rh Ca
8 4 2
direct
0.1963 0.1655 0.6113 Pm
0.4538 0.7052 0.9291 Pm
0.2211 0.7188 0.1975 Pm
0.7548 0.9181 0.5704 Pm
0.5112 0.1774 0.3796 Pm
0.8786 0.6189 0.7482 Pm
0.7265 0.4424 0.0818 Pm
0.9017 0.1347 0.2164 Pm
0.0242 0.3679 0.8724 Rh
0.7996 0.8725 0.2665 Rh
0.6110 0.3403 0.7283 Rh
0.6508 0.4763 0.3751 Rh
0.2608 0.6384 0.5149 Ca
0.2596 0.1735 0.0085 Ca
```

Properties
Calculated formation energy ... -0.36 eV/atom
ΔE to the lowest computed polymorph ... 31 meV per atom

LiCaTl after structural relaxation, computed with PBE.

Geometry as POSCAR:
```
LiCaTl
1.0
5.0429 0.0000 2.8315
1.8155 5.0746 2.6731
-0.0612 -0.0570 6.0155
Tl Li Ca
2 2 2
direct
0.5000 0.0000 0.5000 Tl
0.5000 0.5000 0.0000 Tl
0.0000 0.0000 0.0000 Li
0.5000 0.0000 0.0000 Li
0.1263 0.6237 0.6237 Ca
0.8737 0.3763 0.3763 Ca
```

Properties
Calculated formation energy ... -0.29 eV/atom
ΔE to the lowest computed polymorph ... 6 meV per atom

Pm5In2Ru after structural relaxation, computed with PBE.

Geometry as POSCAR:
```
Pm5In2Ru
1.0
4.8038 0.0000 0.0000
0.0000 7.9179 0.0000
0.0000 0.0000 12.3968
In Ru Pm
4 2 10
direct
0.5000 0.9235 0.6680 In
0.5000 0.0765 0.3320 In
0.5000 0.4235 0.8320 In
0.5000 0.5765 0.1680 In
0.0000 0.5000 0.5000 Ru
0.0000 0.0000 0.0000 Ru
0.5000 0.1840 0.0707 Pm
0.0000 0.8629 0.2027 Pm
0.5000 0.6840 0.4293 Pm
0.5000 0.8160 0.9293 Pm
0.5000 0.3160 0.5707 Pm
0.0000 0.6371 0.7027 Pm
0.0000 0.5000 0.0000 Pm
0.0000 0.3629 0.2973 Pm
0.0000 0.0000 0.5000 Pm
0.0000 0.1371 0.7973 Pm
```

Properties
Calculated formation energy ... -0.35 eV/atom

Ti5CuPd4 after structural relaxation, computed with PBE.

Geometry as POSCAR:
```
Ti5CuPd4
1.0
3.3308 0.0000 0.0000
0.0000 3.3308 0.0000
0.0000 0.0000 14.1383
Ti Pd Cu
5 4 1
direct
0.5000 0.5000 0.5000 Ti
0.5000 0.5000 0.9053 Ti
0.5000 0.5000 0.7030 Ti
0.5000 0.5000 0.2970 Ti
0.5000 0.5000 0.0947 Ti
0.0000 0.0000 0.3987 Pd
0.0000 0.0000 0.8040 Pd
0.0000 0.0000 0.6013 Pd
0.0000 0.0000 0.1960 Pd
0.0000 0.0000 0.0000 Cu
```

Properties
Calculated formation energy ... -0.40 eV/atom

TiPCl9 after structural relaxation, computed with PBE.

Geometry as POSCAR:
```
TiPCl9
1.0
-6.4877 0.3591 3.6109
4.2895 -5.0246 6.7024
3.6883 9.4967 1.8020
Cl Ti P
18 2 2
direct
0.0667 0.2941 0.2615 Cl
0.0270 0.7315 0.3767 Cl
0.6076 0.8153 0.5270 Cl
0.3924 0.1847 0.4730 Cl
0.6929 0.4641 0.4648 Cl
0.5136 0.8016 0.8221 Cl
0.7718 0.9485 0.2458 Cl
0.9730 0.2685 0.6233 Cl
0.8203 0.6424 0.0641 Cl
0.3839 0.5382 0.2195 Cl
0.9333 0.7059 0.7385 Cl
0.2282 0.0515 0.7542 Cl
0.6161 0.4618 0.7805 Cl
0.8414 0.1024 0.8355 Cl
0.3071 0.5359 0.5352 Cl
0.1797 0.3576 0.9359 Cl
0.1586 0.8976 0.1645 Cl
0.4864 0.1984 0.1779 Cl
0.3745 0.3516 0.3392 Ti
0.6255 0.6484 0.6608 Ti
0.0559 0.1971 0.7860 P
0.9441 0.8029 0.2140 P
```

Properties
E_form (uncorrected) ... -11.53 eV/f.u.